The following is a PBE calculation of crystalline ErAl2Ni at its relaxed geometry, from OQMD.

Lattice parameters (Å, degrees): 5.423 5.423 6.873 90.00 90.00 136.15
Fractional positions:
Er (0.061, 0.939, 0.750)
Er (0.939, 0.061, 0.250)
Al (0.345, 0.655, 0.554)
Al (0.345, 0.655, 0.946)
Al (0.655, 0.345, 0.054)
Al (0.655, 0.345, 0.446)
Ni (0.216, 0.784, 0.250)
Ni (0.784, 0.216, 0.750)

Properties
uncorrected energy: -5.056 eV/atom